(one)
The following is a DFT calculation (PBE) of a relaxed NbPH crystal.

Cell: 4.7049 6.5258 4.8782 Å, 90.00 90.84 90.00°
Space group P2_1/c (No. 14)
Symmetry-distinct sites (fractional):
Nb  0.1297  0.1055  0.2389 x4
P  0.3622  0.0433  0.7335 x4
H  0.1119  0.6946  0.5754 x4

(two)
The following is a DFT calculation (PBE) of a relaxed NbPH crystal.

Cell: 3.4308 3.4308 3.3637 Å, 90.00 90.00 120.00°
Space group P-6m2 (No. 187)
Symmetry-distinct sites (fractional):
Nb  0.0000  0.0000  0.0000 x1
P  0.6667  0.3333  0.5000 x1
H  0.3333  0.6667  0.0000 x1

Order of stability, best first: (two), (one)

(one)
The following is a DFT calculation (PBE) of a relaxed NbP2H2 crystal.

Cell: 5.6454 5.6454 3.2137 Å, 90.00 90.00 90.00°
Space group P4/mbm (No. 127)
Symmetry-distinct sites (fractional):
Nb  0.0000  0.0000  0.0000 x2
P  0.1378  0.3622  0.5000 x4
H  0.1594  0.6594  0.0000 x4

(two)
The following is a DFT calculation (PBE) of a relaxed NbP2H2 crystal.

Cell: 3.9926 3.9926 7.0774 Å, 90.00 90.00 90.00°
Space group I4/mmm (No. 139)
Symmetry-distinct sites (fractional):
Nb  0.0000  0.0000  0.0000 x2
P  0.0000  0.5000  0.2500 x4
H  0.0000  0.0000  0.4454 x4

Order of stability, best first: (one), (two)

(one)
The following is a DFT calculation (PBE) of a relaxed NbP2HS crystal.

Cell: 3.6360 3.6360 4.9219 Å, 90.00 90.00 90.00°
Space group P4/mmm (No. 123)
Symmetry-distinct sites (fractional):
Nb  0.0000  0.0000  0.0000 x1
P  0.0000  0.5000  0.5000 x2
H  0.5000  0.5000  0.5000 x1
S  0.5000  0.5000  0.0000 x1

(two)
The following is a DFT calculation (PBE) of a relaxed NbP2HS crystal.

Cell: 4.8549 4.8549 4.7848 Å, 90.00 90.00 90.00°
Space group P4/mmm (No. 123)
Symmetry-distinct sites (fractional):
Nb  0.0000  0.0000  0.0000 x1
P  0.0000  0.5000  0.0000 x2
H  0.5000  0.5000  0.5000 x1
S  0.0000  0.0000  0.5000 x1

Order of stability, best first: (one), (two)

(one)
The following is a DFT calculation (PBE) of a relaxed PaNbH crystal.

Cell: 3.0845 3.0845 5.6753 Å, 90.00 90.00 120.00°
Space group P3m1 (No. 156)
Symmetry-distinct sites (fractional):
Pa  0.0000  0.0000  0.0000 x1
Nb  0.3333  0.6667  0.4849 x1
H  0.6667  0.3333  0.6782 x1

(two)
The following is a DFT calculation (PBE) of a relaxed PaNbH crystal.

Cell: 3.6333 3.6333 15.6897 Å, 90.00 90.00 90.00°
Space group I4/mmm (No. 139)
Symmetry-distinct sites (fractional):
Pa  0.0000  0.0000  0.1700 x4
Nb  0.0000  0.5000  0.0000 x4
H  0.0000  0.0000  0.3163 x4

Order of stability, best first: (one), (two)

(one)
The following is a DFT calculation (PBE) of a relaxed NbHPb3 crystal.

Cell: 5.5083 5.5083 5.5083 Å, 90.00 90.00 90.00°
Space group Pm-3m (No. 221)
Symmetry-distinct sites (fractional):
Nb  0.0000  0.0000  0.0000 x1
H  0.5000  0.5000  0.5000 x1
Pb  0.0000  0.0000  0.5000 x3

(two)
The following is a DFT calculation (PBE) of a relaxed NbHPb3 crystal.

Cell: 4.8061 4.8061 4.8061 Å, 90.00 90.00 90.00°
Space group Pm-3m (No. 221)
Symmetry-distinct sites (fractional):
Nb  0.0000  0.0000  0.0000 x1
H  0.5000  0.5000  0.5000 x1
Pb  0.0000  0.5000  0.5000 x3

Order of stability, best first: (two), (one)

(one)
The following is a DFT calculation (PBE) of a relaxed NbHPd2 crystal.

Cell: 6.1438 6.1438 6.1438 Å, 90.00 90.00 90.00°
Space group Fm-3m (No. 225)
Symmetry-distinct sites (fractional):
Nb  0.0000  0.0000  0.0000 x4
H  0.0000  0.0000  0.5000 x4
Pd  0.2500  0.2500  0.2500 x8

(two)
The following is a DFT calculation (PBE) of a relaxed NbHPd2 crystal.

Cell: 6.5688 6.5688 4.9080 Å, 90.00 90.00 90.00°
Space group I-42d (No. 122)
Symmetry-distinct sites (fractional):
Nb  0.0000  0.0000  0.0000 x4
H  0.0000  0.0000  0.5000 x4
Pd  0.1452  0.2500  0.6250 x8

Order of stability, best first: (two), (one)